1.
# Ti3HgH (PBE-GGA, optimized geometry)
# - excess energy over the best structure of this formula in the dataset (meV/atom) = 112
data_Ti3HgH
_space_group_name_H-M_alt 'C 1 2/m 1'
_space_group_IT_number 12
_cell_length_a 11.9886
_cell_length_b 4.0335
_cell_length_c 6.7529
_cell_angle_alpha 90.00
_cell_angle_beta 107.17
_cell_angle_gamma 90.00
loop_
_space_group_symop_operation_xyz
'x,y,z'
'-x,-y,-z'
'-x,y,-z'
'x,-y,z'
'x+1/2,y+1/2,z'
'-x+1/2,-y+1/2,-z'
'-x+1/2,y+1/2,-z'
'x+1/2,-y+1/2,z'
loop_
_atom_site_label
_atom_site_fract_x
_atom_site_fract_y
_atom_site_fract_z
_atom_site_occupancy
Ti1 0.0574 0.0000 0.3431 1
Ti2 0.1120 0.5000 0.6550 1
Ti3 0.2276 0.5000 0.3413 1
Hg1 0.1535 0.0000 0.9992 1
H1 0.0586 0.5000 0.3481 1

---

2.
# TiHgH (PBE-GGA, optimized geometry)
# - excess energy over the best structure of this formula in the dataset (meV/atom) = 0
data_TiHgH
_space_group_name_H-M_alt 'P -6 m 2'
_space_group_IT_number 187
_space_group_name_Hall 'P -6 2'
_cell_length_a 3.1776
_cell_length_b 3.1776
_cell_length_c 4.7098
_cell_angle_alpha 90.00
_cell_angle_beta 90.00
_cell_angle_gamma 120.00
loop_
_atom_site_label
_atom_site_fract_x
_atom_site_fract_y
_atom_site_fract_z
_atom_site_occupancy
Ti1 0.0000 0.0000 0.0000 1
Hg1 0.3333 0.6667 0.5000 1
H1 0.6667 0.3333 0.0000 1